Entry from Alexandria via LeMat-Bulk: an optimized crystal structure of Na2Tl2Zn (PBE).

abc: 8.499 8.499 8.499
angles: 151.24 151.24 41.13
Fractional coordinates of all 5 atoms:
1 Na 0.250 0.750 0.500
2 Na 0.750 0.250 0.500
3 Tl 0.094 0.094 0.000
4 Tl 0.906 0.906 0.000
5 Zn 0.500 0.500 0.000

Summary:
Energy relative to the elements, eV per atom: 0.1690
Space group: I4/mmm
Energy relative to the lowest polymorph listed for this composition, eV per formula unit: 0.94

Entry from Alexandria via LeMat-Bulk: an optimized crystal structure of Na2TlZn2 (PBE).

abc: 7.434 7.434 7.434
angles: 145.64 145.64 49.38
Fractional coordinates of all 5 atoms:
1 Na 0.250 0.750 0.500
2 Na 0.750 0.250 0.500
3 Tl 0.000 0.000 0.000
4 Zn 0.407 0.407 0.000
5 Zn 0.593 0.593 0.000

Summary:
Energy relative to the elements, eV per atom: 0.1518
Space group: I4/mmm
Energy relative to the lowest polymorph listed for this composition, eV per formula unit: 0.62

Entry from Alexandria via LeMat-Bulk: an optimized crystal structure of Na2TlZn (PBE).

abc: 4.577 4.577 4.855
angles: 90.00 90.00 90.00
Fractional coordinates of all 4 atoms:
1 Na 0.000 0.500 0.000
2 Na 0.500 0.000 0.000
3 Tl 0.000 0.000 0.500
4 Zn 0.500 0.500 0.500

Summary:
Energy relative to the elements, eV per atom: 0.0046
Space group: P4/mmm

Entry from Alexandria via LeMat-Bulk: an optimized crystal structure of Na4Tl4Zn (PBE).

abc: 8.194 8.194 8.194
angles: 135.90 135.90 64.13
Fractional coordinates of all 9 atoms:
1 Na 0.211 0.211 0.603
2 Na 0.392 0.789 0.000
3 Na 0.608 0.608 0.397
4 Na 0.789 0.392 0.000
5 Tl 0.026 0.619 0.000
6 Tl 0.381 0.381 0.407
7 Tl 0.619 0.026 0.000
8 Tl 0.974 0.974 0.593
9 Zn 0.000 0.000 0.000

Summary:
Energy relative to the elements, eV per atom: 0.0006
Space group: I-42m

Entry from Alexandria via LeMat-Bulk: an optimized crystal structure of NaTl2Zn2 (PBE).

abc: 7.919 7.919 3.893
angles: 90.00 90.00 90.00
Fractional coordinates of all 10 atoms:
1 Na 0.000 0.000 0.000
2 Na 0.500 0.500 0.000
3 Tl 0.182 0.318 0.500
4 Tl 0.318 0.818 0.500
5 Tl 0.682 0.182 0.500
6 Tl 0.818 0.682 0.500
7 Zn 0.118 0.618 0.000
8 Zn 0.382 0.118 0.000
9 Zn 0.618 0.882 0.000
10 Zn 0.882 0.382 0.000

Summary:
Energy relative to the elements, eV per atom: 0.0510
Space group: P4/mbm
Energy relative to the lowest polymorph listed for this composition, eV per formula unit: 0.00

Entry from Alexandria via LeMat-Bulk: an optimized crystal structure of NaZrTl (PBE).

abc: 3.392 3.392 16.065
angles: 89.89 89.95 60.01
Fractional coordinates of all 6 atoms:
1 Na 0.166 0.170 0.098
2 Na 0.834 0.830 0.902
3 Zr 0.167 0.166 0.574
4 Zr 0.833 0.834 0.426
5 Tl 0.500 0.497 0.735
6 Tl 0.500 0.503 0.265

Summary:
Energy relative to the elements, eV per atom: -0.0007
Space group: P-1
Energy relative to the lowest polymorph listed for this composition, eV per formula unit: 0.12